No. 1
Computed, not measured: a relaxed structure of ZrIrSe2 at the PBE level of DFT.

a b c (Å): 4.474 4.474 3.459
angles (deg): 90.00 90.00 90.00
Element x y z (fractional)
Zr (0.000, 0.000, 0.000)
Ir (0.500, 0.500, 0.000)
Se (0.000, 0.500, 0.500)
Se (0.500, 0.000, 0.500)

Results
E_form (uncorrected)	-0.46	eV per atom
total DFT energy (no corrections)	-26.23	eV for the cell shown
relative energy among the computed polymorphs	247	meV per atom
density of states at the Fermi level	2.55	states/eV/cell
size of the total moment	0.0	μB/cell

---

No. 2
Computed, not measured: a relaxed structure of Zr2IrSe2 at the PBE level of DFT.

a b c (Å): 7.441 7.441 3.525
angles (deg): 90.00 90.00 90.00
Element x y z (fractional)
Zr (0.158, 0.342, 0.000)
Zr (0.342, 0.842, 0.000)
Zr (0.658, 0.158, 0.000)
Zr (0.842, 0.658, 0.000)
Ir (0.000, 0.000, 0.000)
Ir (0.500, 0.500, 0.000)
Se (0.141, 0.641, 0.500)
Se (0.359, 0.141, 0.500)
Se (0.641, 0.859, 0.500)
Se (0.859, 0.359, 0.500)

Results
E_form (uncorrected)	-0.62	eV per atom
total DFT energy (no corrections)	-72.08	eV for the cell shown
relative energy among the computed polymorphs	0	meV per atom
density of states at the Fermi level	6.73	states/eV/cell
size of the total moment	0.0	μB/cell

---

No. 3
Computed, not measured: a relaxed structure of Zr2IrSe2 at the PBE level of DFT.

a b c (Å): 7.686 7.686 7.686
angles (deg): 151.89 151.89 40.17
Element x y z (fractional)
Zr (0.103, 0.103, 0.000)
Zr (0.897, 0.897, 0.000)
Ir (0.500, 0.500, 0.000)
Se (0.250, 0.750, 0.500)
Se (0.750, 0.250, 0.500)

Results
E_form (uncorrected)	-0.31	eV per atom
total DFT energy (no corrections)	-34.47	eV for the cell shown
relative energy among the computed polymorphs	315	meV per atom
density of states at the Fermi level	4.72	states/eV/cell
size of the total moment	0.0	μB/cell

---

No. 4
Computed, not measured: a relaxed structure of ZrIrSe2 at the PBE level of DFT.

a b c (Å): 8.719 8.719 8.719
angles (deg): 22.07 22.07 22.07
Element x y z (fractional)
Zr (0.000, 0.000, 0.000)
Ir (0.500, 0.500, 0.500)
Se (0.407, 0.407, 0.407)
Se (0.593, 0.593, 0.593)

Results
E_form (uncorrected)	-0.26	eV per atom
total DFT energy (no corrections)	-25.42	eV for the cell shown
relative energy among the computed polymorphs	448	meV per atom
density of states at the Fermi level	3.60	states/eV/cell
size of the total moment	0.0	μB/cell

---

No. 5
Computed, not measured: a relaxed structure of ZrIr4Se at the PBE level of DFT.

a b c (Å): 5.255 5.255 5.255
angles (deg): 60.00 60.00 60.00
Element x y z (fractional)
Zr (0.000, 0.000, 0.000)
Ir (0.375, 0.375, 0.375)
Ir (0.375, 0.375, 0.876)
Ir (0.375, 0.876, 0.375)
Ir (0.876, 0.375, 0.375)
Se (0.750, 0.750, 0.750)

Results
E_form (uncorrected)	0.05	eV per atom
total DFT energy (no corrections)	-47.20	eV for the cell shown
density of states at the Fermi level	9.44	states/eV/cell
size of the total moment	0.0	μB/cell

---

No. 6
Computed, not measured: a relaxed structure of ZrIrSe2 at the PBE level of DFT.

a b c (Å): 5.467 5.467 5.467
angles (deg): 138.30 138.30 60.45
Element x y z (fractional)
Zr (0.000, 0.000, 0.000)
Ir (0.250, 0.750, 0.500)
Se (0.500, 0.500, 0.000)
Se (0.750, 0.250, 0.500)

Results
E_form (uncorrected)	-0.35	eV per atom
total DFT energy (no corrections)	-25.79	eV for the cell shown
relative energy among the computed polymorphs	357	meV per atom
density of states at the Fermi level	1.94	states/eV/cell
size of the total moment	0.0	μB/cell

---

No. 7
Computed, not measured: a relaxed structure of ZrIrSe2 at the PBE level of DFT.

a b c (Å): 7.457 7.457 7.457
angles (deg): 31.07 31.07 31.07
Element x y z (fractional)
Zr (0.000, 0.000, 0.000)
Ir (0.745, 0.745, 0.745)
Se (0.262, 0.262, 0.262)
Se (0.442, 0.442, 0.442)

Results
E_form (uncorrected)	-0.62	eV per atom
total DFT energy (no corrections)	-26.86	eV for the cell shown
relative energy among the computed polymorphs	90	meV per atom
density of states at the Fermi level	1.60	states/eV/cell
size of the total moment	0.0	μB/cell

---

No. 8
Computed, not measured: a relaxed structure of ZrIrSe2 at the PBE level of DFT.

a b c (Å): 5.294 5.294 4.660
angles (deg): 95.70 95.70 39.37
Element x y z (fractional)
Zr (0.000, 0.000, 0.000)
Ir (0.291, 0.291, 0.811)
Se (0.491, 0.491, 0.542)
Se (0.738, 0.738, 0.140)

Results
E_form (uncorrected)	-0.53	eV per atom
total DFT energy (no corrections)	-26.50	eV for the cell shown
relative energy among the computed polymorphs	178	meV per atom
density of states at the Fermi level	1.38	states/eV/cell
size of the total moment	0.0	μB/cell

---

No. 9
Computed, not measured: a relaxed structure of Zr2IrSe at the PBE level of DFT.

a b c (Å): 4.939 4.939 4.939
angles (deg): 131.73 117.45 82.73
Element x y z (fractional)
Zr (0.249, 0.249, 0.000)
Zr (0.751, 0.751, 0.000)
Ir (0.500, 0.000, 0.500)
Se (0.000, 0.500, 0.500)

Results
E_form (uncorrected)	-0.67	eV per atom
total DFT energy (no corrections)	-32.13	eV for the cell shown
density of states at the Fermi level	2.97	states/eV/cell
size of the total moment	0.0	μB/cell

---

No. 10
Computed, not measured: a relaxed structure of Zr2IrSe at the PBE level of DFT.

a b c (Å): 5.423 5.423 4.508
angles (deg): 95.13 95.13 35.58
Element x y z (fractional)
Zr (0.000, 0.000, 0.000)
Zr (0.728, 0.728, 0.571)
Ir (0.266, 0.266, 0.070)
Se (0.461, 0.461, 0.504)

Results
E_form (uncorrected)	-0.81	eV per atom
total DFT energy (no corrections)	-32.67	eV for the cell shown
density of states at the Fermi level	3.37	states/eV/cell
size of the total moment	0.0	μB/cell

---

No. 11
Computed, not measured: a relaxed structure of Zr2IrSe at the PBE level of DFT.

a b c (Å): 4.850 4.850 3.255
angles (deg): 94.56 94.56 98.39
Element x y z (fractional)
Zr (0.000, 0.500, 0.000)
Zr (0.500, 0.000, 0.000)
Ir (0.000, 0.000, 0.500)
Se (0.500, 0.500, 0.500)

Results
E_form (uncorrected)	-0.73	eV per atom
total DFT energy (no corrections)	-32.36	eV for the cell shown
density of states at the Fermi level	3.49	states/eV/cell
size of the total moment	0.0	μB/cell

---

No. 12
Computed, not measured: a relaxed structure of Zr2IrSe at the PBE level of DFT.

a b c (Å): 7.179 7.179 7.179
angles (deg): 30.54 30.54 30.54
Element x y z (fractional)
Zr (0.241, 0.241, 0.241)
Zr (0.759, 0.759, 0.759)
Ir (0.500, 0.500, 0.500)
Se (0.000, 0.000, 0.000)

Results
E_form (uncorrected)	-0.90	eV per atom
total DFT energy (no corrections)	-33.05	eV for the cell shown
density of states at the Fermi level	2.79	states/eV/cell
size of the total moment	0.0	μB/cell

---

Which of these has the highest E_form (uncorrected)? ZrIr4Se